# 1
GGA+U NaMg2VF8, optimized geometry; magnetic moment = 2.000 μB/f.u.; VASP energy = -65.18 eV per cell
1.0
4.791 0.000 0.000
0.000 6.391 0.000
-0.045 0.000 4.816
Na Mg V F
1 2 1 8
direct
0.000 0.000 0.000
0.500 0.243 0.500
0.500 0.757 0.500
0.000 0.500 0.000
0.209 0.282 0.201
0.209 0.718 0.201
0.296 0.500 0.698
0.315 0.000 0.677
0.685 0.000 0.323
0.704 0.500 0.302
0.791 0.282 0.799
0.791 0.718 0.799



# 2
GGA+U NaMg2VF, optimized geometry; magnetic moment = 3.839 μB/f.u.; VASP energy = -14.62 eV per cell
1.0
5.754 0.000 0.000
0.000 5.754 0.000
0.000 0.000 4.043
Na Mg V F
1 2 1 1
direct
0.000 0.000 0.000
0.000 0.500 0.500
0.500 0.000 0.500
0.500 0.500 0.500
0.500 0.500 0.000